No. 1
An optimized crystal structure of SrLa3Cd4, computed with PBE.

Geometry as POSCAR:
```
SrLa3Cd4
1.0
5.581 0.000 0.000
0.000 5.581 0.000
0.000 0.000 7.994
Sr La Cd
1 3 4
direct
0.000 0.000 0.000
0.000 0.000 0.500
0.500 0.500 0.000
0.500 0.500 0.500
0.000 0.500 0.255
0.000 0.500 0.745
0.500 0.000 0.255
0.500 0.000 0.745
```

Calculated values
The uncorrected energy is -22.74 eV per cell. The space group is No. 123.


No. 2
An optimized crystal structure of PuAsBr, computed with PBE.

Geometry as POSCAR:
```
PuAsBr
1.0
8.511 0.000 0.000
0.000 3.996 0.000
-1.939 0.000 10.431
Pu As Br
4 4 4
direct
0.098 0.000 0.183
0.402 0.500 0.817
0.598 0.500 0.183
0.902 0.000 0.817
0.136 0.500 0.976
0.364 0.000 0.024
0.636 0.000 0.976
0.864 0.500 0.024
0.179 0.000 0.661
0.321 0.500 0.339
0.679 0.500 0.661
0.821 0.000 0.339
```

Calculated values
The value obtained for the formation energy from raw total energies is -989 meV/atom. The uncorrected energy is -94.48 eV per cell. The space group is No. 12.